First-principles (PBE-GGA) data for a relaxed ZrB4Rh crystal, as listed in Alexandria via LeMat-Bulk.

- ΔE_f: -558 meV per atom
- Final energy: -7.660 eV per atom
- Crystal system: orthorhombic

a b c (Å): 3.438 5.898 11.463
angles (deg): 90.00 90.00 90.00
Element x y z (fractional)
1 Zr 0.000 0.628 0.351
2 Zr 0.000 0.372 0.649
3 Zr 0.000 0.128 0.149
4 Zr 0.000 0.872 0.851
5 B 0.500 0.800 0.187
6 B 0.500 0.200 0.813
7 B 0.500 0.300 0.313
8 B 0.500 0.700 0.687
9 B 0.500 0.870 0.032
10 B 0.500 0.130 0.968
11 B 0.500 0.370 0.468
12 B 0.500 0.630 0.532
13 B 0.500 0.883 0.452
14 B 0.500 0.117 0.548
15 B 0.500 0.383 0.048
16 B 0.500 0.617 0.952
17 B 0.500 0.971 0.306
18 B 0.500 0.029 0.694
19 B 0.500 0.471 0.194
20 B 0.500 0.529 0.806
21 Rh 0.000 0.640 0.096
22 Rh 0.000 0.360 0.904
23 Rh 0.000 0.140 0.404
24 Rh 0.000 0.860 0.596